{"formula": "K2Ba6Pd", "functional": "PBE", "state": "optimized geometry", "cell": [[-4.257, -1.881, 7.903], [4.884, -2.456, 7.364], [0.780, 5.742, 7.113]], "species": ["Ba", "Ba", "Ba", "Ba", "Ba", "Ba", "K", "K", "Pd"], "frac_coords": [[0.744, 0.256, 0.744], [0.256, 0.256, 0.744], [0.744, 0.744, 0.256], [0.256, 0.744, 0.256], [0.744, 0.256, 0.256], [0.256, 0.744, 0.744], [0.750, 0.750, 0.750], [0.250, 0.250, 0.250], [0.500, 0.500, 0.500]], "formation_energy_ev_per_fu": -1.01, "m_tot_mub_per_atom": 0.0000, "dft_energy_ev_per_cell": -19.93}